Material: FeNiRu2
Method: DFT, PBE-GGA
State: optimized geometry

Calculated values
* energy of formation: 0.14 eV/atom
* DFT total energy: -8.059 eV/atom
* symmetry: No. 10

a b c (Å): 4.5046 2.6357 4.6030
angles (deg): 90.00 110.36 90.00
Last column: nearest neighbours and their distance in Å.
Atoms (fractional coordinates):
Fe 0.0000 0.0000 0.0000  6 Ru 2.60-2.61, 2 Fe 2.64, 4 Ni 2.65
Ni 0.0000 0.5000 0.5000  6 Ru 2.60-2.61, 2 Ni 2.64, 4 Fe 2.65
Ru 0.5000 0.0000 0.5000  2 Fe 2.60, 4 Ni 2.61, 6 Ru 2.64-2.65
Ru 0.5000 0.5000 0.0000  2 Ni 2.60, 4 Fe 2.61, 6 Ru 2.64-2.65

***

Material: La2ErO4
Method: DFT, PBE-GGA
State: optimized geometry

Calculated values
* formation energy without anion corrections: -3.168 eV/atom
* DFT total energy: -8.061 eV/atom
* symmetry: No. 12

a b c (Å): 6.2320 6.2320 6.2341
angles (deg): 116.84 116.84 32.99
Last column: nearest neighbours and their distance in Å.
Atoms (fractional coordinates):
La 0.1902 0.1902 0.1963  4 O 2.38-2.61
La 0.8098 0.8098 0.8037  4 O 2.38-2.61
Er 0.5000 0.5000 0.5000  6 O 2.25-2.36
O 0.1347 0.1347 0.5176  2 Er 2.36, 1 La 2.39
O 0.3778 0.3778 0.0935  1 Er 2.25, 2 La 2.38
O 0.6222 0.6222 0.9065  1 Er 2.25, 2 La 2.38
O 0.8653 0.8653 0.4824  2 Er 2.36, 1 La 2.39

***

Material: Tb3Pm2Tm8
Method: DFT, PBE-GGA
State: optimized geometry

Calculated values
* energy of formation: 0.25 eV/atom
* DFT total energy: -4.298 eV/atom
* symmetry: No. 10

a b c (Å): 7.5643 5.4989 10.9389
angles (deg): 90.00 110.21 90.00
Last column: nearest neighbours and their distance in Å.
Atoms (fractional coordinates):
Tb 0.0000 0.0000 0.0000  4 Tm 3.10
Tb 0.2878 0.5000 0.9999  3 Tb 3.21-3.51, 6 Tm 3.43-3.53
Tb 0.7122 0.5000 0.0001  3 Tb 3.21-3.51, 6 Tm 3.43-3.53
Pm 0.2410 0.0000 0.4809  8 Tm 3.40-3.57, 1 Pm 3.79
Pm 0.7590 0.0000 0.5191  8 Tm 3.40-3.57, 1 Pm 3.79
Tm 0.1292 0.5000 0.2583  4 Tb 3.43-3.82, 5 Tm 3.53-3.84, 2 Pm 3.57
Tm 0.1791 0.0000 0.7838  1 Tb 3.10, 3 Tm 3.22-3.38
Tm 0.3379 0.5000 0.6751  4 Tm 3.38, 2 Pm 3.40, 2 Tb 3.70
Tm 0.3950 0.0000 0.2162  1 Tb 3.10, 3 Tm 3.22-3.38, 1 Pm 3.47
Tm 0.6050 0.0000 0.7838  1 Tb 3.10, 3 Tm 3.22-3.38, 1 Pm 3.47
Tm 0.6621 0.5000 0.3249  4 Tm 3.38, 2 Pm 3.40, 2 Tb 3.70
Tm 0.8209 0.0000 0.2162  1 Tb 3.10, 3 Tm 3.22-3.38
Tm 0.8708 0.5000 0.7417  4 Tb 3.43-3.82, 5 Tm 3.53-3.84, 2 Pm 3.57

***

Material: ScCoBi2Br
Method: DFT, PBE-GGA
State: optimized geometry

Calculated values
* formation energy without anion corrections: 0.535 eV/atom
* DFT total energy: -4.039 eV/atom
* symmetry: No. 123

a b c (Å): 5.7022 5.7022 5.0688
angles (deg): 90.00 90.00 90.00
Last column: nearest neighbours and their distance in Å.
Atoms (fractional coordinates):
Sc 0.0000 0.0000 0.0000  2 Br 2.53
Co 0.5000 0.5000 0.5000  8 Bi 3.81, 4 Br 4.03
Bi 0.0000 0.5000 0.0000  2 Sc 2.85
Bi 0.5000 0.0000 0.0000  2 Sc 2.85
Br 0.0000 0.0000 0.5000  2 Sc 2.53